Record 1
Below is a geometry-optimized Tm6AgHg2 structure, with properties calculated at the PBE level.

Values from the calculation:
Raw total energy: -3.4388 eV/atom
M_tot: 0.000 Bohr magnetons per cell
ΔE_f: -0.074 eV/atom
Volume: 530.6 Å³/cell

Structure (CIF):
```
data_Tm6AgHg2
_chemical_formula_sum 'Tm12 Ag2 Hg4'
_space_group_name_H-M_alt 'I m m m'
_space_group_IT_number 71
_space_group_name_Hall '-I 2 2'
_cell_length_a 4.9847
_cell_length_b 7.0913
_cell_length_c 15.0107
_cell_angle_alpha 90.00
_cell_angle_beta 90.00
_cell_angle_gamma 90.00
loop_
_atom_site_label
_atom_site_fract_x
_atom_site_fract_y
_atom_site_fract_z
_atom_site_occupancy
Tm1 0.0000 0.2469 0.0000 1
Tm2 0.0000 0.2520 0.3351 1
Ag1 0.0000 0.5000 0.5000 1
Hg1 0.0000 0.5000 0.1670 1
```

Record 2
Below is a geometry-optimized AcAs2Pd5Au structure, with properties calculated at the PBE level.

Values from the calculation:
Raw total energy: -5.1640 eV/atom
M_tot: 0.000 Bohr magnetons per cell
ΔE_f: -0.425 eV/atom
Volume: 174.9 Å³/cell

Structure (CIF):
```
data_AcAs2Pd5Au
_chemical_formula_sum 'Ac1 As2 Pd5 Au1'
_space_group_name_H-M_alt 'P 4/m m m'
_space_group_IT_number 123
_space_group_name_Hall '-P 4 2'
_cell_length_a 4.8003
_cell_length_b 4.8003
_cell_length_c 7.5923
_cell_angle_alpha 90.00
_cell_angle_beta 90.00
_cell_angle_gamma 90.00
loop_
_atom_site_label
_atom_site_fract_x
_atom_site_fract_y
_atom_site_fract_z
_atom_site_occupancy
Ac1 0.0000 0.0000 0.0000 1
As1 0.5000 0.5000 0.3356 1
Pd1 0.0000 0.5000 0.2626 1
Pd2 0.5000 0.5000 0.0000 1
Au1 0.0000 0.0000 0.5000 1
```